Entry 1:
VASP calculation (PBE) on crystalline PrHo8Tm3 at its relaxed geometry.

abc: 8.579 8.579 8.582
angles: 97.57 98.32 136.34
Positions (direct):
Pr (0.000, 0.000, 0.000)
Ho (0.505, 0.245, 0.260)
Ho (0.495, 0.755, 0.740)
Ho (0.015, 0.755, 0.260)
Ho (0.985, 0.245, 0.740)
Ho (0.168, 0.251, 0.420)
Ho (0.832, 0.251, 0.083)
Ho (0.168, 0.749, 0.917)
Ho (0.831, 0.749, 0.580)
Tm (0.500, 0.761, 0.261)
Tm (0.500, 0.239, 0.739)
Tm (0.000, 0.500, 0.500)

=====

Entry 2:
VASP calculation (PBE) on crystalline Pr12HoTm2 at its relaxed geometry.

abc: 6.885 6.885 25.171
angles: 90.00 90.00 63.42
Positions (direct):
Pr (0.500, 0.500, 0.802)
Pr (0.000, 0.000, 0.802)
Pr (0.751, 0.749, 0.869)
Pr (0.252, 0.752, 0.927)
Pr (0.000, 0.000, 0.323)
Pr (0.248, 0.748, 0.073)
Pr (0.774, 0.274, 0.560)
Pr (0.500, 0.500, 0.323)
Pr (0.249, 0.251, 0.869)
Pr (0.749, 0.751, 0.131)
Pr (0.269, 0.231, 0.587)
Pr (0.726, 0.226, 0.440)
Pr (0.000, 0.000, 0.677)
Pr (0.231, 0.269, 0.413)
Pr (0.251, 0.249, 0.131)
Pr (0.769, 0.731, 0.413)
Pr (0.731, 0.769, 0.587)
Pr (0.000, 0.000, 0.198)
Pr (0.226, 0.726, 0.560)
Pr (0.500, 0.500, 0.677)
Pr (0.748, 0.248, 0.927)
Pr (0.500, 0.500, 0.198)
Pr (0.274, 0.774, 0.440)
Pr (0.752, 0.252, 0.073)
Ho (0.500, 0.000, 0.001)
Ho (0.000, 0.500, 0.999)
Tm (0.500, 0.000, 0.270)
Tm (0.000, 0.500, 0.267)
Tm (0.000, 0.500, 0.730)
Tm (0.500, 0.000, 0.733)

=====

Entry 3:
VASP calculation (PBE) on crystalline Pr2Ho7Tm2 at its relaxed geometry.

excess energy over the best structure of this formula in the dataset: 0 meV per atom

abc: 3.581 10.523 10.523
angles: 66.48 99.87 99.87
Positions (direct):
Pr (0.500, 0.727, 0.273)
Pr (0.500, 0.273, 0.727)
Ho (0.168, 0.919, 0.418)
Ho (0.832, 0.582, 0.081)
Ho (0.832, 0.081, 0.582)
Ho (0.168, 0.418, 0.919)
Ho (0.000, 0.000, 0.000)
Ho (0.623, 0.625, 0.625)
Ho (0.377, 0.375, 0.375)
Tm (0.300, 0.800, 0.800)
Tm (0.700, 0.200, 0.200)

=====

Entry 4:
VASP calculation (PBE) on crystalline PrHo5Tm2 at its relaxed geometry.

excess energy over the best structure of this formula in the dataset: 127 meV per atom

abc: 5.616 8.589 11.405
angles: 90.06 90.00 109.10
Positions (direct):
Pr (0.773, 0.546, 0.750)
Pr (0.227, 0.454, 0.250)
Ho (0.956, 0.913, 0.888)
Ho (0.958, 0.915, 0.613)
Ho (0.413, 0.825, 0.423)
Ho (0.413, 0.826, 0.078)
Ho (0.603, 0.207, 0.250)
Ho (0.397, 0.793, 0.750)
Ho (0.587, 0.175, 0.577)
Ho (0.587, 0.174, 0.922)
Ho (0.044, 0.087, 0.112)
Ho (0.042, 0.085, 0.387)
Tm (0.787, 0.575, 0.421)
Tm (0.787, 0.574, 0.080)
Tm (0.213, 0.425, 0.579)
Tm (0.213, 0.426, 0.920)

=====

Entry 5:
VASP calculation (PBE) on crystalline Pr3HoTm6 at its relaxed geometry.

excess energy over the best structure of this formula in the dataset: 0 meV per atom

abc: 3.541 13.230 16.180
angles: 121.80 90.00 90.00
Positions (direct):
Pr (0.750, 0.388, 0.891)
Pr (0.250, 0.612, 0.109)
Pr (0.750, 0.625, 0.507)
Pr (0.250, 0.375, 0.493)
Pr (0.750, 0.131, 0.097)
Pr (0.250, 0.869, 0.903)
Ho (0.750, 0.118, 0.696)
Ho (0.250, 0.882, 0.304)
Tm (0.750, 0.599, 0.712)
Tm (0.250, 0.401, 0.288)
Tm (0.750, 0.857, 0.102)
Tm (0.250, 0.143, 0.898)
Tm (0.750, 0.380, 0.099)
Tm (0.250, 0.620, 0.901)
Tm (0.750, 0.655, 0.311)
Tm (0.250, 0.345, 0.689)
Tm (0.750, 0.122, 0.485)
Tm (0.250, 0.878, 0.515)
Tm (0.750, 0.891, 0.721)
Tm (0.250, 0.109, 0.279)

=====

Entry 6:
VASP calculation (PBE) on crystalline PrHo4Tm at its relaxed geometry.

excess energy over the best structure of this formula in the dataset: 0 meV per atom

abc: 3.441 5.999 10.135
angles: 86.79 80.23 73.34
Positions (direct):
Pr (0.500, 0.500, 0.500)
Ho (0.656, 0.537, 0.152)
Ho (0.344, 0.463, 0.848)
Ho (0.153, 0.034, 0.659)
Ho (0.847, 0.966, 0.341)
Tm (0.000, 0.000, 0.000)

=====

Entry 7:
VASP calculation (PBE) on crystalline Pr5Ho5Tm2 at its relaxed geometry.

abc: 5.081 10.782 8.061
angles: 98.67 71.63 76.37
Positions (direct):
Pr (0.666, 0.253, 0.415)
Pr (0.997, 0.252, 0.754)
Pr (0.003, 0.748, 0.246)
Pr (0.334, 0.747, 0.585)
Pr (0.000, 0.000, 0.000)
Ho (0.000, 0.500, 0.500)
Ho (0.669, 0.746, 0.916)
Ho (0.333, 0.000, 0.334)
Ho (0.667, 0.000, 0.666)
Ho (0.331, 0.254, 0.084)
Tm (0.332, 0.501, 0.835)
Tm (0.668, 0.499, 0.165)

=====

Entry 8:
VASP calculation (PBE) on crystalline Pr6Ho2Tm5 at its relaxed geometry.

abc: 3.626 11.703 20.595
angles: 90.00 90.00 90.00
Positions (direct):
Pr (0.000, 0.085, 0.367)
Pr (0.000, 0.915, 0.633)
Pr (0.000, 0.585, 0.133)
Pr (0.000, 0.415, 0.867)
Pr (0.500, 0.328, 0.134)
Pr (0.500, 0.672, 0.866)
Pr (0.500, 0.828, 0.366)
Pr (0.500, 0.172, 0.634)
Pr (0.000, 0.560, 0.420)
Pr (0.000, 0.440, 0.580)
Pr (0.000, 0.060, 0.080)
Pr (0.000, 0.940, 0.920)
Ho (0.000, 0.337, 0.290)
Ho (0.000, 0.663, 0.710)
Ho (0.000, 0.837, 0.210)
Ho (0.000, 0.163, 0.790)
Tm (0.500, 0.302, 0.444)
Tm (0.500, 0.698, 0.556)
Tm (0.500, 0.802, 0.056)
Tm (0.500, 0.198, 0.944)
Tm (0.500, 0.595, 0.273)
Tm (0.500, 0.405, 0.727)
Tm (0.500, 0.095, 0.227)
Tm (0.500, 0.905, 0.773)
Tm (0.500, 0.500, 0.000)
Tm (0.500, 0.000, 0.500)

=====

Entry 9:
VASP calculation (PBE) on crystalline Pr4HoTm6 at its relaxed geometry.

excess energy over the best structure of this formula in the dataset: 0 meV per atom

abc: 9.687 9.687 9.687
angles: 58.16 139.80 139.80
Positions (direct):
Pr (0.000, 0.634, 0.014)
Pr (0.380, 0.366, 0.366)
Pr (0.000, 0.014, 0.634)
Pr (0.620, 0.986, 0.986)
Ho (0.000, 0.000, 0.000)
Tm (0.000, 0.800, 0.445)
Tm (0.000, 0.445, 0.800)
Tm (0.355, 0.555, 0.555)
Tm (0.500, 0.500, 0.000)
Tm (0.645, 0.200, 0.200)
Tm (0.500, 0.000, 0.500)

=====

Entry 10:
VASP calculation (PBE) on crystalline PrHo2Tm3 at its relaxed geometry.

excess energy over the best structure of this formula in the dataset: 9 meV per atom

abc: 3.619 11.230 11.062
angles: 120.44 99.41 90.00
Positions (direct):
Pr (0.389, 0.015, 0.777)
Pr (0.611, 0.985, 0.223)
Ho (0.276, 0.649, 0.551)
Ho (0.724, 0.351, 0.449)
Ho (0.943, 0.812, 0.886)
Ho (0.057, 0.188, 0.114)
Tm (0.279, 0.155, 0.558)
Tm (0.055, 0.676, 0.110)
Tm (0.389, 0.512, 0.777)
Tm (0.721, 0.845, 0.442)
Tm (0.611, 0.488, 0.223)
Tm (0.945, 0.324, 0.890)

=====

Entry 11:
VASP calculation (PBE) on crystalline PrHo3Tm7 at its relaxed geometry.

excess energy over the best structure of this formula in the dataset: 0 meV per atom

abc: 5.470 9.819 8.783
angles: 104.81 128.52 90.01
Positions (direct):
Pr (0.500, 0.500, 0.500)
Ho (0.275, 0.993, 0.776)
Ho (0.000, 0.500, 0.000)
Ho (0.725, 0.007, 0.224)
Tm (0.932, 0.832, 0.932)
Tm (0.848, 0.710, 0.348)
Tm (0.676, 0.357, 0.176)
Tm (0.324, 0.643, 0.824)
Tm (0.500, 0.000, 0.500)
Tm (0.152, 0.290, 0.652)
Tm (0.068, 0.168, 0.068)

=====

Entry 12:
VASP calculation (PBE) on crystalline Pr4HoTm6 at its relaxed geometry.

excess energy over the best structure of this formula in the dataset: 182 meV per atom

abc: 7.685 7.685 8.521
angles: 116.80 116.80 90.00
Positions (direct):
Pr (0.100, 0.744, 0.844)
Pr (0.900, 0.900, 0.156)
Pr (0.744, 0.100, 0.844)
Pr (0.256, 0.256, 0.156)
Ho (0.500, 0.500, 0.000)
Tm (0.921, 0.439, 0.360)
Tm (0.439, 0.921, 0.360)
Tm (0.561, 0.561, 0.640)
Tm (0.000, 0.500, 0.000)
Tm (0.079, 0.079, 0.640)
Tm (0.500, 0.000, 0.000)

=====

Entry 13:
VASP calculation (PBE) on crystalline Pr3Ho2Tm7 at its relaxed geometry.

excess energy over the best structure of this formula in the dataset: 5 meV per atom

abc: 3.554 5.788 18.728
angles: 93.05 90.00 90.00
Positions (direct):
Pr (0.500, 0.500, 0.000)
Pr (0.000, 0.224, 0.367)
Pr (0.000, 0.776, 0.633)
Ho (0.500, 0.712, 0.291)
Ho (0.500, 0.288, 0.709)
Tm (0.500, 0.743, 0.461)
Tm (0.500, 0.257, 0.539)
Tm (0.000, 0.693, 0.143)
Tm (0.000, 0.000, 0.000)
Tm (0.000, 0.307, 0.857)
Tm (0.500, 0.805, 0.826)
Tm (0.500, 0.195, 0.174)

=====

Entry 14:
VASP calculation (PBE) on crystalline Pr2Ho3Tm5 at its relaxed geometry.

excess energy over the best structure of this formula in the dataset: 0 meV per atom

abc: 9.412 9.367 11.096
angles: 125.50 125.59 68.03
Positions (direct):
Pr (0.768, 0.034, 0.754)
Pr (0.232, 0.966, 0.246)
Pr (0.486, 0.721, 0.754)
Pr (0.514, 0.279, 0.246)
Ho (0.227, 0.977, 0.954)
Ho (0.773, 0.023, 0.046)
Ho (0.720, 0.488, 0.258)
Ho (0.280, 0.512, 0.742)
Ho (0.038, 0.770, 0.258)
Ho (0.962, 0.230, 0.742)
Tm (0.267, 0.517, 0.035)
Tm (0.733, 0.483, 0.965)
Tm (0.027, 0.777, 0.554)
Tm (0.522, 0.272, 0.544)
Tm (0.973, 0.223, 0.446)
Tm (0.478, 0.728, 0.456)
Tm (0.888, 0.631, 0.735)
Tm (0.112, 0.369, 0.265)
Tm (0.347, 0.105, 0.735)
Tm (0.653, 0.895, 0.265)

=====

Entry 15:
VASP calculation (PBE) on crystalline Pr2HoTm at its relaxed geometry.

excess energy over the best structure of this formula in the dataset: 7 meV per atom

abc: 3.636 3.636 10.062
angles: 90.00 90.00 90.00
Positions (direct):
Pr (0.000, 0.000, 0.751)
Pr (0.000, 0.000, 0.249)
Tm (0.500, 0.500, 0.000)
Ho (0.500, 0.500, 0.500)

=====

Entry 16:
VASP calculation (PBE) on crystalline Pr3HoTm4 at its relaxed geometry.

excess energy over the best structure of this formula in the dataset: 116 meV per atom

abc: 3.480 8.908 8.908
angles: 81.85 78.74 78.74
Positions (direct):
Pr (0.756, 0.244, 0.244)
Pr (0.244, 0.756, 0.756)
Pr (0.000, 0.500, 0.500)
Tm (0.635, 0.109, 0.621)
Tm (0.365, 0.891, 0.379)
Tm (0.365, 0.379, 0.891)
Tm (0.635, 0.621, 0.109)
Ho (0.500, 0.000, 0.000)

=====

Entry 17:
VASP calculation (PBE) on crystalline Pr4Ho9Tm11 at its relaxed geometry.

abc: 3.588 15.374 15.374
angles: 116.44 90.00 90.00
Positions (direct):
Pr (0.500, 0.583, 0.758)
Pr (0.500, 0.417, 0.242)
Pr (0.500, 0.758, 0.583)
Pr (0.500, 0.242, 0.417)
Ho (0.500, 0.613, 0.173)
Ho (0.500, 0.387, 0.827)
Ho (0.500, 0.173, 0.613)
Ho (0.500, 0.827, 0.387)
Ho (0.500, 0.797, 0.985)
Ho (0.500, 0.203, 0.015)
Ho (0.500, 0.985, 0.797)
Ho (0.500, 0.015, 0.203)
Ho (0.500, 0.500, 0.500)
Tm (0.000, 0.595, 0.968)
Tm (0.000, 0.405, 0.032)
Tm (0.000, 0.968, 0.595)
Tm (0.000, 0.032, 0.405)
Tm (0.000, 0.625, 0.375)
Tm (0.000, 0.375, 0.625)
Tm (0.000, 0.813, 0.187)
Tm (0.000, 0.187, 0.813)
Tm (0.000, 0.000, 0.000)
Tm (0.000, 0.790, 0.790)
Tm (0.000, 0.210, 0.210)

=====

Entry 18:
VASP calculation (PBE) on crystalline Pr8Ho2Tm at its relaxed geometry.

excess energy over the best structure of this formula in the dataset: 0 meV per atom

abc: 5.740 8.312 9.565
angles: 115.75 107.46 90.00
Positions (direct):
Pr (0.636, 0.840, 0.271)
Pr (0.364, 0.568, 0.729)
Pr (0.163, 0.163, 0.325)
Pr (0.000, 0.292, 0.000)
Pr (0.837, 0.837, 0.675)
Pr (0.636, 0.432, 0.271)
Pr (0.364, 0.160, 0.729)
Pr (0.000, 0.708, 0.000)
Ho (0.201, 0.701, 0.402)
Ho (0.799, 0.299, 0.598)
Tm (0.500, 0.000, 0.000)

=====

Entry 19:
VASP calculation (PBE) on crystalline Pr4Ho3Tm4 at its relaxed geometry.

excess energy over the best structure of this formula in the dataset: 0 meV per atom

abc: 3.591 5.038 19.958
angles: 97.24 95.14 90.00
Positions (direct):
Pr (0.546, 0.545, 0.092)
Pr (0.454, 0.455, 0.908)
Pr (0.818, 0.818, 0.635)
Pr (0.182, 0.182, 0.365)
Ho (0.636, 0.636, 0.272)
Ho (0.364, 0.364, 0.728)
Ho (0.000, 0.000, 0.000)
Tm (0.093, 0.091, 0.184)
Tm (0.272, 0.272, 0.544)
Tm (0.728, 0.728, 0.456)
Tm (0.907, 0.909, 0.816)

=====

no.,DFT formation energy (meV per atom),Fermi-level density of states (states/eV/atom)
1,339.5,1.279
2,158.0,1.450
3,133.4,1.373
4,149.1,1.507
5,71.3,1.631
6,200.5,2.128
7,22.0,1.431
8,108.5,1.216
9,293.8,1.238
10,9.6,1.639
11,158.8,1.645
12,475.6,1.201
13,90.8,1.212
14,195.0,1.645
15,23.0,1.479
16,141.2,1.506
17,41.5,1.337
18,111.1,1.501
19,22.3,1.314